(1)
The following is a DFT calculation (PBE-GGA) of an optimized crystal structure of LaPrTh.

Geometry as POSCAR:
```
LaPrTh
1.0
3.649 0.000 0.000
-1.824 3.160 0.000
0.000 0.000 9.057
La Pr Th
1 1 1
direct
0.000 0.000 0.000
0.333 0.667 0.636
0.667 0.333 0.315
```

The formation energy is 24 meV per atom. Its mass density is 8.14 Mg/m³. Its density of states at the Fermi level is 4.3 states/eV/f.u. For the total energy, the calculation gives -17.06 eV/cell. The value obtained for the energy above the most stable polymorph in this dataset is 0.006 eV per atom. As for the crystal system: trigonal.

---

(2)
The following is a DFT calculation (PBE-GGA) of an optimized crystal structure of La3PrTh2.

Geometry as POSCAR:
```
La3PrTh2
1.0
3.495 -9.019 0.000
3.495 9.019 0.000
0.000 0.000 6.719
La Pr Th
6 2 4
direct
0.078 0.420 0.750
0.147 0.853 0.750
0.420 0.078 0.250
0.580 0.922 0.750
0.853 0.147 0.250
0.922 0.580 0.250
0.354 0.646 0.250
0.646 0.354 0.750
0.249 0.249 0.000
0.249 0.249 0.500
0.751 0.751 0.000
0.751 0.751 0.500
```

The formation energy is 157 meV per atom. Its mass density is 8.01 Mg/m³. Its density of states at the Fermi level is 9.7 states/eV/f.u. For the total energy, the calculation gives -66.92 eV/cell. As for the crystal system: orthorhombic.

---

(3)
The following is a DFT calculation (PBE-GGA) of an optimized crystal structure of La6PrTh.

Geometry as POSCAR:
```
La6PrTh
1.0
5.212 0.000 0.000
0.000 5.212 0.000
0.000 0.000 10.470
La Pr Th
6 1 1
direct
0.000 0.000 0.000
0.000 0.000 0.500
0.000 0.500 0.243
0.000 0.500 0.757
0.500 0.000 0.243
0.500 0.000 0.757
0.500 0.500 0.500
0.500 0.500 0.000
```

The formation energy is 19 meV per atom. Its mass density is 7.04 Mg/m³. Its density of states at the Fermi level is 11.8 states/eV/f.u. For the total energy, the calculation gives -41.61 eV/cell. The value obtained for the energy above the most stable polymorph in this dataset is 0.000 eV per atom. As for the crystal system: tetragonal.

---

(4)
The following is a DFT calculation (PBE-GGA) of an optimized crystal structure of La9Pr4Th.

Geometry as POSCAR:
```
La9Pr4Th
1.0
10.173 0.000 0.000
-5.086 8.810 0.000
0.000 0.000 11.630
La Pr Th
18 8 2
direct
0.075 0.537 0.250
0.208 0.415 0.536
0.208 0.415 0.964
0.208 0.792 0.536
0.208 0.792 0.964
0.415 0.208 0.036
0.415 0.208 0.464
0.463 0.537 0.250
0.463 0.925 0.250
0.537 0.075 0.750
0.537 0.463 0.750
0.585 0.792 0.536
0.585 0.792 0.964
0.792 0.208 0.036
0.792 0.208 0.464
0.792 0.585 0.036
0.792 0.585 0.464
0.925 0.463 0.750
0.000 0.000 0.000
0.000 0.000 0.500
0.115 0.230 0.250
0.115 0.885 0.250
0.230 0.115 0.750
0.770 0.885 0.250
0.885 0.115 0.750
0.885 0.770 0.750
0.333 0.667 0.750
0.667 0.333 0.250
```

The formation energy is 141 meV per atom. Its mass density is 6.52 Mg/m³. Its density of states at the Fermi level is 24.4 states/eV/f.u. For the total energy, the calculation gives -137.83 eV/cell. As for the crystal system: hexagonal.

---

(5)
The following is a DFT calculation (PBE-GGA) of an optimized crystal structure of La2Pr3Th.

Geometry as POSCAR:
```
La2Pr3Th
1.0
8.648 0.000 0.000
0.000 3.679 0.000
-0.035 0.000 13.612
La Pr Th
4 6 2
direct
0.094 0.250 0.389
0.347 0.750 0.938
0.653 0.250 0.062
0.906 0.750 0.611
0.094 0.250 0.110
0.349 0.750 0.562
0.408 0.750 0.250
0.592 0.250 0.750
0.651 0.250 0.438
0.906 0.750 0.890
0.179 0.250 0.749
0.821 0.750 0.251
```

The formation energy is 73 meV per atom. Its mass density is 7.15 Mg/m³. Its density of states at the Fermi level is 9.0 states/eV/f.u. For the total energy, the calculation gives -62.36 eV/cell. The value obtained for the energy above the most stable polymorph in this dataset is 0.000 eV per atom. As for the crystal system: monoclinic.

---

(6)
The following is a DFT calculation (PBE-GGA) of an optimized crystal structure of La2Pr15Th2.

Geometry as POSCAR:
```
La2Pr15Th2
1.0
5.785 3.340 6.095
-5.785 3.340 6.095
0.000 -6.680 6.095
La Pr Th
2 15 2
direct
0.181 0.181 0.181
0.819 0.819 0.819
0.000 0.500 0.500
0.131 0.131 0.651
0.131 0.651 0.131
0.205 0.500 0.795
0.205 0.795 0.500
0.349 0.869 0.869
0.500 0.000 0.500
0.500 0.205 0.795
0.500 0.500 0.000
0.500 0.795 0.205
0.651 0.131 0.131
0.795 0.205 0.500
0.795 0.500 0.205
0.869 0.349 0.869
0.869 0.869 0.349
0.416 0.416 0.416
0.584 0.584 0.584
```

The formation energy is 243 meV per atom. Its mass density is 6.71 Mg/m³. Its density of states at the Fermi level is 31.5 states/eV/f.u. For the total energy, the calculation gives -91.78 eV/cell. As for the crystal system: trigonal.

---

Copy entry 3 word for word.
The following is a DFT calculation (PBE-GGA) of an optimized crystal structure of La6PrTh.

Geometry as POSCAR:
```
La6PrTh
1.0
5.212 0.000 0.000
0.000 5.212 0.000
0.000 0.000 10.470
La Pr Th
6 1 1
direct
0.000 0.000 0.000
0.000 0.000 0.500
0.000 0.500 0.243
0.000 0.500 0.757
0.500 0.000 0.243
0.500 0.000 0.757
0.500 0.500 0.500
0.500 0.500 0.000
```

The formation energy is 19 meV per atom. Its mass density is 7.04 Mg/m³. Its density of states at the Fermi level is 11.8 states/eV/f.u. For the total energy, the calculation gives -41.61 eV/cell. The value obtained for the energy above the most stable polymorph in this dataset is 0.000 eV per atom. As for the crystal system: tetragonal.